## Na3RuBr6 (PBE)

Data for a geometry-optimized Na3RuBr6 structure.

Total DFT energy (no corrections) in eV/f.u.: -32.218
Formation energy from raw total energies in eV per atom: -0.895
Space-group type: Fmmm, No. 69

abc: 6.829 6.829 8.097
angles: 110.08 110.08 100.70
Site moments in Bohr magnetons follow the coordinates.
Fractional positions:
1 Na 0.750 0.250 0.500  0.00
2 Na 0.250 0.750 0.500  0.00
3 Na 0.500 0.500 0.000  0.00
4 Br 0.338 0.338 0.262  0.01
5 Br 0.764 0.236 0.000  0.05
6 Br 0.076 0.076 0.738  0.01
7 Br 0.662 0.662 0.738  0.01
8 Br 0.924 0.924 0.262  0.01
9 Br 0.236 0.764 0.000  0.05
10 Ru 0.000 0.000 0.000  0.77